A plane-wave DFT calculation with PBE-GGA was carried out for a relaxed GaBH2Pt crystal.

Results
The raw total energy comes out at -19.8 eV for the cell shown. Its crystal system is tetragonal. Its space group is P4/mmm, No. 123.

abc: 3.3359 5.2740 3.3359
angles: 90.00 90.00 90.00
Last column: nearest neighbours and their distance in Å.
Element x y z (fractional)
H: 0.5000 0.0000 0.0000  2 Pt 1.67
H: 0.0000 0.0000 0.5000  2 Pt 1.67
Ga: 0.0000 0.5000 0.0000  4 B 2.36, 2 Pt 2.64
Pt: 0.0000 0.0000 0.0000  4 H 1.67
B: 0.5000 0.5000 0.5000  4 Ga 2.36